# 1
Cs2PuIrO6 | PBE | optimized geometry

Values from the calculation:
Energy relative to the elements, uncorrected (eV per atom): -1.77
Crystal system: tetragonal
SG: No. 139

Lattice parameters (Å, degrees): 7.1075 7.1075 7.1075 132.05 132.05 70.16
Last column: nearest neighbours and their distance in Å.
Sites, in units of the cell vectors:
Cs1 0.2500 0.7500 0.5000  4 O 3.07
Cs2 0.7500 0.2500 0.5000  4 O 3.07
Pu1 0.0000 0.0000 0.0000  2 O 1.86
Ir1 0.5000 0.5000 0.0000  4 O 1.91
O1 0.1602 0.1602 0.0000  1 Pu 1.86
O2 0.2666 0.2666 0.5332  1 Ir 1.91
O3 0.2666 0.7334 0.0000  1 Ir 1.91
O4 0.7334 0.2666 0.0000  1 Ir 1.91
O5 0.7334 0.7334 0.4668  1 Ir 1.91
O6 0.8398 0.8398 0.0000  1 Pu 1.86

---

# 2
CsPu2IrO8 | PBE | optimized geometry

Values from the calculation:
Energy relative to the elements, uncorrected (eV per atom): -1.90
Crystal system: trigonal
SG: No. 147

Lattice parameters (Å, degrees): 5.6562 5.6562 7.6427 90.00 90.00 120.00
Last column: nearest neighbours and their distance in Å.
Sites, in units of the cell vectors:
Cs1 0.0000 0.0000 0.0000  12 O 3.43-3.50, 2 Ir 3.82
Pu1 0.3333 0.6667 0.5900  1 O 1.87
Pu2 0.6667 0.3333 0.4100  1 O 1.87
Ir1 0.0000 0.0000 0.5000  6 O 2.04
O1 0.0738 0.7218 0.3802  1 Ir 2.04, 1 Pu 2.26
O2 0.2782 0.3520 0.3802  1 Ir 2.04, 1 Pu 2.26
O3 0.3333 0.6667 0.8343  1 Pu 1.87
O4 0.3520 0.0738 0.6198  1 Ir 2.04, 1 Pu 2.26
O5 0.6480 0.9262 0.3802  1 Ir 2.04, 1 Pu 2.26
O6 0.6667 0.3333 0.1657  1 Pu 1.87
O7 0.7218 0.6480 0.6198  1 Ir 2.04, 1 Pu 2.26
O8 0.9262 0.2782 0.6198  1 Ir 2.04, 1 Pu 2.26

---

# 3
CsPuIrO6 | PBE | optimized geometry

Values from the calculation:
Energy relative to the elements, uncorrected (eV per atom): -1.77
Crystal system: orthorhombic
SG: No. 74

Lattice parameters (Å, degrees): 7.5392 7.5392 7.5392 122.14 117.46 90.40
Last column: nearest neighbours and their distance in Å.
Sites, in units of the cell vectors:
Cs1 0.3666 0.1166 0.2500  10 O 3.28-3.66
Cs2 0.6334 0.8834 0.7500  10 O 3.28-3.66
Pu1 0.0000 0.5000 0.5000  6 O 2.03-2.11
Pu2 0.5000 0.5000 0.0000  6 O 2.03-2.11
Ir1 0.0000 0.0000 0.5000  6 O 1.93-1.99
Ir2 0.0000 0.5000 0.0000  6 O 1.93-1.99
O1 0.0545 0.4261 0.2330  1 Ir 1.99, 1 Pu 2.03
O2 0.0545 0.8215 0.6284  1 Ir 1.99, 1 Pu 2.03
O3 0.0582 0.8082 0.2500  2 Ir 1.93
O4 0.3069 0.1785 0.7330  1 Ir 1.99, 1 Pu 2.03
O5 0.3069 0.5739 0.1284  1 Ir 1.99, 1 Pu 2.03
O6 0.3239 0.5739 0.7500  2 Pu 2.11
O7 0.6761 0.4261 0.2500  2 Pu 2.11
O8 0.6931 0.4261 0.8716  1 Ir 1.99, 1 Pu 2.03
O9 0.6931 0.8215 0.2670  1 Ir 1.99, 1 Pu 2.03
O10 0.9418 0.1918 0.7500  2 Ir 1.93
O11 0.9455 0.1785 0.3716  1 Ir 1.99, 1 Pu 2.03
O12 0.9455 0.5739 0.7670  1 Ir 1.99, 1 Pu 2.03

---

# 4
CsRb2IrO4 | PBE | optimized geometry

Values from the calculation:
Energy relative to the elements, uncorrected (eV per atom): -1.20
Crystal system: tetragonal
SG: No. 119

Lattice parameters (Å, degrees): 6.1599 6.1599 6.1599 114.32 114.32 100.16
Last column: nearest neighbours and their distance in Å.
Sites, in units of the cell vectors:
Cs1 0.0000 0.0000 0.0000  8 O 3.12
Rb1 0.2500 0.7500 0.5000  4 O 2.85
Rb2 0.5000 0.5000 0.0000  8 O 3.12
Ir1 0.7500 0.2500 0.5000  4 O 1.88
O1 0.5512 0.0512 0.1023  1 Ir 1.88
O2 0.5512 0.4488 0.5000  1 Ir 1.88
O3 0.9488 0.0512 0.5000  1 Ir 1.88
O4 0.9488 0.4488 0.8977  1 Ir 1.88

---

# 5
Cs2Rb2IrO6 | PBE | optimized geometry

Values from the calculation:
Energy relative to the elements, uncorrected (eV per atom): -1.08
Crystal system: monoclinic
SG: No. 12

Lattice parameters (Å, degrees): 6.5779 6.5779 6.8468 98.74 98.74 116.72
Last column: nearest neighbours and their distance in Å.
Sites, in units of the cell vectors:
Cs1 0.1698 0.8302 0.0000  4 O 2.89-2.91
Cs2 0.8302 0.1698 0.0000  4 O 2.89-2.91
Rb1 0.3435 0.6565 0.5000  6 O 2.84-2.87
Rb2 0.6565 0.3435 0.5000  6 O 2.84-2.87
Ir1 0.0000 0.0000 0.5000  6 O 1.91-1.93
O1 0.0449 0.2858 0.6634  1 Ir 1.91
O2 0.1699 0.1699 0.3210  1 Ir 1.93
O3 0.2858 0.0449 0.6634  1 Ir 1.91
O4 0.7142 0.9551 0.3366  1 Ir 1.91
O5 0.8301 0.8301 0.6790  1 Ir 1.93
O6 0.9551 0.7142 0.3366  1 Ir 1.91

---

# 6
Cs3RbIr2O8 | PBE | optimized geometry

Values from the calculation:
Energy relative to the elements, uncorrected (eV per atom): -1.05
Crystal system: trigonal
SG: No. 164

Lattice parameters (Å, degrees): 6.6427 6.6427 8.6467 90.00 90.00 120.00
Last column: nearest neighbours and their distance in Å.
Sites, in units of the cell vectors:
Cs1 0.0000 0.0000 0.0000  6 O 3.34
Cs2 0.3333 0.6667 0.6577  1 O 2.93
Cs3 0.6667 0.3333 0.3423  1 O 2.93
Rb1 0.0000 0.0000 0.5000  6 O 2.80
Ir1 0.3333 0.6667 0.2038  4 O 1.80-1.85
Ir2 0.6667 0.3333 0.7962  4 O 1.80-1.85
O1 0.1879 0.3757 0.2947  1 Ir 1.85
O2 0.1879 0.8121 0.2947  1 Ir 1.85
O3 0.3333 0.6667 0.9961  1 Ir 1.80
O4 0.3757 0.1879 0.7053  1 Ir 1.85
O5 0.6243 0.8121 0.2947  1 Ir 1.85
O6 0.6667 0.3333 0.0039  1 Ir 1.80
O7 0.8121 0.1879 0.7053  1 Ir 1.85
O8 0.8121 0.6243 0.7053  1 Ir 1.85

---

# 7
Cs2Rb3IrO6 | PBE | optimized geometry

Values from the calculation:
Energy relative to the elements, uncorrected (eV per atom): -1.12
Crystal system: monoclinic
SG: No. 12

Lattice parameters (Å, degrees): 7.0026 7.0026 6.5577 100.47 100.47 120.33
Last column: nearest neighbours and their distance in Å.
Sites, in units of the cell vectors:
Cs1 0.1691 0.8309 0.0000  6 O 2.98-3.02
Cs2 0.8309 0.1691 0.0000  6 O 2.98-3.02
Rb1 0.0000 0.0000 0.5000  4 O 2.79
Rb2 0.3473 0.6527 0.5000  4 O 2.73-2.78
Rb3 0.6527 0.3473 0.5000  4 O 2.73-2.78
Ir1 0.5000 0.5000 0.0000  6 O 1.96
O1 0.2104 0.4375 0.8108  1 Ir 1.96
O2 0.3288 0.3288 0.1795  1 Ir 1.96
O3 0.4375 0.2104 0.8108  1 Ir 1.96
O4 0.5625 0.7896 0.1892  1 Ir 1.96
O5 0.6712 0.6712 0.8205  1 Ir 1.96
O6 0.7896 0.5625 0.1892  1 Ir 1.96

---

# 8
CsRb2IrO6 | PBE | optimized geometry

Values from the calculation:
Energy relative to the elements, uncorrected (eV per atom): -0.96
Crystal system: trigonal
SG: No. 148

Lattice parameters (Å, degrees): 6.4946 6.4946 6.4946 63.22 63.22 63.22
Last column: nearest neighbours and their distance in Å.
Sites, in units of the cell vectors:
Cs1 0.0000 0.0000 0.0000  6 O 2.99
Rb1 0.2624 0.2624 0.2624  6 O 2.90-3.02
Rb2 0.7376 0.7376 0.7376  6 O 2.90-3.02
Ir1 0.5000 0.5000 0.5000  6 O 1.87
O1 0.2247 0.3966 0.6694  1 Ir 1.87
O2 0.3306 0.7753 0.6034  1 Ir 1.87
O3 0.3966 0.6694 0.2247  1 Ir 1.87
O4 0.6034 0.3306 0.7753  1 Ir 1.87
O5 0.6694 0.2247 0.3966  1 Ir 1.87
O6 0.7753 0.6034 0.3306  1 Ir 1.87

---

# 9
Cs3Rb2IrO6 | PBE | optimized geometry

Values from the calculation:
Energy relative to the elements, uncorrected (eV per atom): -1.12
Crystal system: monoclinic
SG: No. 12

Lattice parameters (Å, degrees): 6.8330 6.8330 6.7727 99.57 99.57 120.05
Last column: nearest neighbours and their distance in Å.
Sites, in units of the cell vectors:
Cs1 0.0000 0.0000 0.0000  4 O 2.89
Cs2 0.3352 0.6648 0.0000  4 O 2.86-2.90
Cs3 0.6648 0.3352 0.0000  4 O 2.86-2.90
Rb1 0.1671 0.8329 0.5000  6 O 2.90-2.92
Rb2 0.8329 0.1671 0.5000  6 O 2.90-2.92
Ir1 0.5000 0.5000 0.5000  6 O 1.95-1.97
O1 0.2070 0.4397 0.3247  1 Ir 1.95
O2 0.3258 0.3258 0.6811  1 Ir 1.97
O3 0.4397 0.2070 0.3247  1 Ir 1.95
O4 0.5603 0.7930 0.6753  1 Ir 1.95
O5 0.6742 0.6742 0.3189  1 Ir 1.97
O6 0.7930 0.5603 0.6753  1 Ir 1.95

---

# 10
Cs2IrRhO | PBE | optimized geometry

Values from the calculation:
Energy relative to the elements, uncorrected (eV per atom): 0.36
Crystal system: tetragonal
SG: No. 123

Lattice parameters (Å, degrees): 7.0002 7.0002 3.6562 90.00 90.00 90.00
Last column: nearest neighbours and their distance in Å.
Sites, in units of the cell vectors:
Cs1 0.0000 0.5000 0.0000  2 Ir 3.50, 2 Cs 3.66
Cs2 0.5000 0.0000 0.0000  2 Ir 3.50, 2 Cs 3.66
Ir1 0.0000 0.0000 0.0000  2 O 1.83
Rh1 0.5000 0.5000 0.5000  2 Rh 3.66, 8 Cs 3.95
O1 0.0000 0.0000 0.5000  2 Ir 1.83

---

Record-wise VASP energy values, in eV/atom: -7.24 -8.40 -7.75 -5.14 -4.92 -5.40 -4.72 -5.10 -4.72 -4.22
Record-wise size of the total moment values, in Bohr magnetons per cell: 2.82 3.99 1.95 2.00 1.08 2.07 2.02 0.12 2.03 1.16